(1)
A geometry-optimized Ba2TbAlS5 structure. Source: the Alexandria database, functional PBE.

## Properties
ρ ... 4.2 g/cm3
Size of the total moment ... 0.00 μB/atom
Final energy ... -5.5122 eV/atom

Cell lengths 4.066, 9.344, 13.128 Å; angles 90.00, 90.00, 102.57 degrees
Fractional positions:
S 0.319 0.638 0.382
S 0.703 0.406 0.167
S 0.500 0.999 0.779
S 0.957 0.913 0.518
S 0.652 0.304 0.509
S 0.681 0.362 0.882
Ba 0.128 0.257 0.329
S 0.348 0.696 0.009
Ba 0.872 0.743 0.829
S 0.043 0.087 0.018
Tb 0.204 0.407 0.030
Tb 0.796 0.593 0.530
Al 0.441 0.882 0.426
Al 0.559 0.118 0.926
Ba 0.119 0.237 0.685
Ba 0.881 0.763 0.185
S 0.297 0.594 0.667
S 0.500 0.001 0.279


(2)
A geometry-optimized CaNbZn structure. Source: the Alexandria database, functional PBE.

## Properties
Calculated formation energy ... 159.3 meV/atom
Relative energy among the computed polymorphs ... 1.477 kcal/mol of atoms
ρ ... 4.9 g/cm3
Size of the total moment ... 0.00 μB/atom

Cell lengths 4.988, 10.919, 4.953 Å; angles 90.00, 90.00, 90.00 degrees
Fractional positions:
Nb 0.000 0.289 0.107
Zn 0.500 0.294 0.815
Nb 0.000 0.211 0.607
Nb 0.000 0.789 0.607
Ca 0.000 0.000 0.176
Ca 0.000 0.500 0.676
Zn 0.500 0.706 0.815
Ca 0.500 0.000 0.747
Zn 0.500 0.794 0.315
Nb 0.000 0.711 0.107
Zn 0.500 0.206 0.315
Ca 0.500 0.500 0.247


ρ of number 2 (CaNbZn)? 4.9 g/cm3


The lowest ρ belongs to which entry? Ba2TbAlS5


Which of these has the lowest ρ? Ba2TbAlS5